Below is an optimized crystal structure of YTe2Pb, with properties calculated at the PBE level.

a b c (Å): 7.4319 7.4319 8.3443
angles (deg): 63.56 63.56 90.00
Positions (direct):
Te 0.1533 0.6250 0.2500
Te 0.3750 0.4033 0.7500
Y 0.5000 0.5000 0.0000
Te 0.5967 0.1250 0.2500
Pb 0.0000 0.0000 0.0000
Te 0.8750 0.8467 0.7500
Y 0.2500 0.7500 0.5000
Pb 0.7500 0.2500 0.5000

- Calculated total energy: -0.343 Ry/atom

Below is an optimized crystal structure of AlTlRu2, with properties calculated at the PBE level.

a b c (Å): 5.1983 5.1983 4.6381
angles (deg): 70.69 70.69 33.50
Positions (direct):
Ru 0.2643 0.2643 0.3142
Ru 0.9860 0.9860 0.9388
Tl 0.5133 0.5133 0.4271
Al 0.7364 0.7364 0.8198

- ΔE_f: 0.159 eV/atom

Below is an optimized crystal structure of La2BeNi2, with properties calculated at the PBE level.

a b c (Å): 7.1561 7.1561 3.9825
angles (deg): 90.00 90.00 90.00
Positions (direct):
Be 0.0000 0.0000 0.0000
Ni 0.1254 0.3746 0.0000
La 0.1809 0.6809 0.5000
Be 0.5000 0.5000 0.0000
Ni 0.8746 0.6254 0.0000
Ni 0.3746 0.8746 0.0000
La 0.6809 0.8191 0.5000
La 0.8191 0.3191 0.5000
La 0.3191 0.1809 0.5000
Ni 0.6254 0.1254 0.0000

- ΔE_f: -0.115 eV/atom